Entry from Alexandria: ReAgBr after structural relaxation (GGA-PBE).

Cell and atoms, written as POSCAR:
```
ReAgBr
1.0
4.633 0.000 0.000
-2.316 4.012 0.000
0.000 0.000 2.874
Re Br Ag
1 1 1
Cartesian
0.000 2.675 1.437 Re
2.316 1.337 1.437 Br
0.000 0.000 0.000 Ag
```

- Crystal system: hexagonal
- Raw formation energy: 3.6 eV/f.u.
- Uncorrected energy: -4.45 eV/atom
- Energy above the lowest structure with this stoichiometry: 410 meV/atom